Entry a
# TlV2SbO8

A geometry-optimized TlV2SbO8 structure (PBE with a Hubbard U, Alexandria).

Calculated values
Spin magnetization = 0.00 μB/cell

Unit cell a=9.034 b=5.719 c=8.171 alpha=90.00 beta=92.96 gamma=90.00
Space group C2/m (No. 12)
Unique sites:
Tl: 0.000 0.000 0.000 (multiplicity 2)
V: 0.134 0.500 0.302 (multiplicity 4)
Sb: 0.000 0.000 0.500 (multiplicity 2)
O: 0.024 0.241 0.327 (multiplicity 8)
O: 0.189 0.500 0.114 (multiplicity 4)
O: 0.219 0.000 0.550 (multiplicity 4)

***

Entry b
# TlV2SbO8

A geometry-optimized TlV2SbO8 structure (PBE with a Hubbard U, Alexandria).

Calculated values
Spin magnetization = 0.00 μB/cell

Unit cell a=15.283 b=5.654 c=8.962 alpha=90.00 beta=90.00 gamma=90.00
Space group Pnma (No. 62)
Unique sites:
Tl: 0.112 0.250 0.067 (multiplicity 4)
V: 0.018 0.750 0.295 (multiplicity 4)
V: 0.217 0.250 0.475 (multiplicity 4)
Sb: 0.127 0.750 0.665 (multiplicity 4)
O: 0.048 0.504 0.748 (multiplicity 8)
O: 0.057 0.750 0.478 (multiplicity 4)
O: 0.098 0.750 0.172 (multiplicity 4)
O: 0.131 0.250 0.366 (multiplicity 4)
O: 0.186 0.750 0.865 (multiplicity 4)
O: 0.213 0.509 0.590 (multiplicity 8)

***

Sorted by energy, starting with the most stable: entry a, entry b.